{
  "formula": "Pr9Nd4Ag11",
  "functional": "PBE",
  "state": "optimized geometry",
  "formation_enthalpy_0k_ev_per_fu": -3.92,
  "m_tot_mub_per_fu": 0.0,
  "space_group": "No. 65",
  "cell": [[7.836, -11.471, 0.000], [7.836, 11.471, 0.000], [0.000, 0.000, 3.656]],
  "species": ["Pr", "Pr", "Pr", "Pr", "Pr", "Pr", "Pr", "Pr", "Pr", "Nd", "Nd", "Nd", "Nd", "Ag", "Ag", "Ag", "Ag", "Ag", "Ag", "Ag", "Ag", "Ag", "Ag", "Ag"],
  "fractional_positions": [[0.000, 0.000, 0.000], [0.127, 0.640, 0.000], [0.292, 0.460, 0.000], [0.360, 0.873, 0.000], [0.460, 0.292, 0.000], [0.540, 0.708, 0.000], [0.640, 0.127, 0.000], [0.708, 0.540, 0.000], [0.873, 0.360, 0.000], [0.058, 0.242, 0.000], [0.242, 0.058, 0.000], [0.758, 0.942, 0.000], [0.942, 0.758, 0.000], [0.083, 0.440, 0.500], [0.144, 0.856, 0.500], [0.248, 0.248, 0.500], [0.333, 0.667, 0.500], [0.440, 0.083, 0.500], [0.500, 0.500, 0.500], [0.560, 0.917, 0.500], [0.667, 0.333, 0.500], [0.752, 0.752, 0.500], [0.856, 0.144, 0.500], [0.917, 0.560, 0.500]]
}


{
  "formula": "Pr2NdAg3",
  "functional": "PBE",
  "state": "optimized geometry",
  "formation_enthalpy_0k_ev_per_fu": -1.50,
  "m_tot_mub_per_fu": 0.0,
  "space_group": "No. 123",
  "cell": [[3.757, 0.000, 0.000], [0.000, 3.757, 0.000], [0.000, 0.000, 11.431]],
  "species": ["Pr", "Pr", "Nd", "Ag", "Ag", "Ag"],
  "fractional_positions": [[0.000, 0.000, 0.168], [0.000, 0.000, 0.832], [0.000, 0.000, 0.500], [0.500, 0.500, 0.000], [0.500, 0.500, 0.336], [0.500, 0.500, 0.664]]
}


{
  "formula": "Pr5Nd2Ag4",
  "functional": "PBE",
  "state": "optimized geometry",
  "formation_enthalpy_0k_ev_per_fu": 0.82,
  "m_tot_mub_per_fu": 0.0,
  "space_group": "No. 12",
  "cell": [[12.443, -2.003, 0.000], [12.443, 2.003, 0.000], [-1.608, 0.000, 7.156]],
  "species": ["Pr", "Pr", "Pr", "Pr", "Pr", "Nd", "Nd", "Ag", "Ag", "Ag", "Ag"],
  "fractional_positions": [[0.000, 0.000, 0.000], [0.292, 0.292, 0.398], [0.314, 0.314, 0.926], [0.686, 0.686, 0.074], [0.708, 0.708, 0.602], [0.430, 0.430, 0.608], [0.570, 0.570, 0.392], [0.131, 0.131, 0.734], [0.441, 0.441, 0.199], [0.559, 0.559, 0.801], [0.869, 0.869, 0.266]]
}


{
  "formula": "Pr2Nd2Ag",
  "functional": "PBE",
  "state": "optimized geometry",
  "formation_enthalpy_0k_ev_per_fu": -0.43,
  "relative_energy_mev_per_atom": 0,
  "m_tot_mub_per_fu": 0.0,
  "space_group": "No. 139",
  "cell": [[-1.860, 1.860, 11.668], [1.860, -1.860, 11.668], [1.860, 1.860, -11.668]],
  "species": ["Pr", "Pr", "Nd", "Nd", "Ag"],
  "fractional_positions": [[0.194, 0.194, 0.000], [0.806, 0.806, 0.000], [0.418, 0.418, 0.000], [0.582, 0.582, 0.000], [0.000, 0.000, 0.000]]
}


{
  "formula": "PrNd5Ag4",
  "functional": "PBE",
  "state": "optimized geometry",
  "formation_enthalpy_0k_ev_per_fu": -2.05,
  "m_tot_mub_per_fu": 0.0,
  "space_group": "No. 123",
  "cell": [[3.737, 0.000, 0.000], [0.000, 3.737, 0.000], [0.000, 0.000, 20.343]],
  "species": ["Pr", "Nd", "Nd", "Nd", "Nd", "Nd", "Ag", "Ag", "Ag", "Ag"],
  "fractional_positions": [[0.000, 0.000, 0.000], [0.500, 0.500, 0.127], [0.500, 0.500, 0.313], [0.500, 0.500, 0.500], [0.500, 0.500, 0.687], [0.500, 0.500, 0.873], [0.000, 0.000, 0.220], [0.000, 0.000, 0.407], [0.000, 0.000, 0.593], [0.000, 0.000, 0.780]]
}


{
  "formula": "PrNdAgSb",
  "functional": "PBE",
  "state": "optimized geometry",
  "m_tot_mub_per_fu": 0.0,
  "e_form_raw_kj_per_mol_atoms": -59,
  "space_group": "No. 216",
  "cell": [[0.000, 3.819, 3.819], [3.819, 0.000, 3.819], [3.819, 3.819, 0.000]],
  "species": ["Pr", "Nd", "Ag", "Sb"],
  "fractional_positions": [[0.000, 0.000, 0.000], [0.500, 0.500, 0.500], [0.250, 0.250, 0.250], [0.750, 0.750, 0.750]]
}


{
  "formula": "Pr2NdAgSe5",
  "functional": "PBE",
  "state": "optimized geometry",
  "m_tot_mub_per_fu": 0.0,
  "e_form_raw_kj_per_mol_atoms": -149,
  "space_group": "No. 36",
  "cell": [[2.106, -8.893, 0.000], [2.106, 8.893, 0.000], [0.000, 0.000, 12.655]],
  "species": ["Pr", "Pr", "Pr", "Pr", "Nd", "Nd", "Ag", "Ag", "Se", "Se", "Se", "Se", "Se", "Se", "Se", "Se", "Se", "Se"],
  "fractional_positions": [[0.110, 0.890, 0.500], [0.123, 0.877, 0.121], [0.877, 0.123, 0.621], [0.890, 0.110, 0.000], [0.196, 0.804, 0.822], [0.804, 0.196, 0.322], [0.445, 0.555, 0.276], [0.555, 0.445, 0.776], [0.044, 0.956, 0.894], [0.288, 0.712, 0.487], [0.309, 0.691, 0.155], [0.362, 0.638, 0.815], [0.498, 0.502, 0.588], [0.502, 0.498, 0.088], [0.638, 0.362, 0.315], [0.691, 0.309, 0.655], [0.712, 0.288, 0.987], [0.956, 0.044, 0.394]]
}


{
  "formula": "PrNd2AgSe5",
  "functional": "PBE",
  "state": "optimized geometry",
  "m_tot_mub_per_fu": 0.0,
  "e_form_raw_kj_per_mol_atoms": -147,
  "space_group": "No. 36",
  "cell": [[2.101, -8.876, 0.000], [2.101, 8.876, 0.000], [0.000, 0.000, 12.646]],
  "species": ["Pr", "Pr", "Nd", "Nd", "Nd", "Nd", "Ag", "Ag", "Se", "Se", "Se", "Se", "Se", "Se", "Se", "Se", "Se", "Se"],
  "fractional_positions": [[0.196, 0.804, 0.500], [0.804, 0.196, 0.000], [0.110, 0.890, 0.178], [0.123, 0.877, 0.798], [0.877, 0.123, 0.298], [0.890, 0.110, 0.678], [0.446, 0.554, 0.955], [0.554, 0.446, 0.455], [0.043, 0.957, 0.574], [0.288, 0.712, 0.167], [0.310, 0.690, 0.832], [0.363, 0.637, 0.493], [0.498, 0.502, 0.267], [0.502, 0.498, 0.767], [0.637, 0.363, 0.993], [0.690, 0.310, 0.332], [0.712, 0.288, 0.667], [0.957, 0.043, 0.074]]
}


{
  "formula": "PrNdSmAg",
  "functional": "PBE",
  "state": "optimized geometry",
  "formation_enthalpy_0k_ev_per_fu": -0.45,
  "relative_energy_mev_per_atom": 0,
  "m_tot_mub_per_fu": 0.0,
  "space_group": "No. 99",
  "cell": [[3.729, 0.000, 0.000], [0.000, 3.729, 0.000], [0.000, 0.000, 8.852]],
  "species": ["Pr", "Nd", "Sm", "Ag"],
  "fractional_positions": [[0.000, 0.000, 0.000], [0.500, 0.500, 0.292], [0.500, 0.500, 0.713], [0.000, 0.000, 0.508]]
}


{
  "formula": "PrNdSmAg",
  "functional": "PBE",
  "state": "optimized geometry",
  "formation_enthalpy_0k_ev_per_fu": 0.37,
  "relative_energy_mev_per_atom": 205,
  "m_tot_mub_per_fu": 2.2,
  "space_group": "No. 216",
  "cell": [[0.000, 3.880, 3.880], [3.880, 0.000, 3.880], [3.880, 3.880, 0.000]],
  "species": ["Pr", "Nd", "Sm", "Ag"],
  "fractional_positions": [[0.000, 0.000, 0.000], [0.250, 0.250, 0.250], [0.750, 0.750, 0.750], [0.500, 0.500, 0.500]]
}


For reference, calculated density by record: 7.66 7.72 6.63 6.98 7.56 7.67 6.51 6.56 7.33 7.72 g cm⁻³.